Run w
This record from Alexandria via LeMat-Bulk describes a geometry-optimized SrCrF2 structure. The functional is PBEsol.

Output
Magnetization (μB per atom): 1.464
Density of states at the Fermi level (states/eV per cell): 5.47

a = 6.405 Å, b = 6.405 Å, c = 6.405 Å
α = 90.00°, β = 90.00°, γ = 90.00°
Space group Fm-3m (No. 225)
Unique sites:
Sr 0.000 0.000 0.000 x4
Cr 0.000 0.000 0.500 x4
F 0.250 0.250 0.250 x8

=====

Run x
This record from Alexandria via LeMat-Bulk describes a geometry-optimized SrCrF2 structure. The functional is PBEsol.

Output
Magnetization (μB per atom): 1.025
Density of states at the Fermi level (states/eV per cell): 2.02

a = 4.0811 Å, b = 4.0811 Å, c = 16.2671 Å
α = 90.00°, β = 90.00°, γ = 120.00°
Space group R-3m (No. 166, hexagonal axes)
Unique sites:
Sr 0.0000 0.0000 0.0000 x3
Cr 0.0000 0.0000 0.5000 x3
F 0.0000 0.0000 0.3791 x6

=====

It is run w that is the least stable of them.

=====

Run w
This record from Alexandria via LeMat-Bulk describes a geometry-optimized CrFeHg2 structure. The functional is PBEsol.

Output
Magnetization (μB per atom): 1.452
Density of states at the Fermi level (states/eV per cell): 8.87

a = 4.195 Å, b = 4.195 Å, c = 7.435 Å
α = 90.00°, β = 90.00°, γ = 90.00°
Space group I4/mmm (No. 139)
Unique sites:
Cr 0.000 0.000 0.000 x2
Fe 0.000 0.000 0.500 x2
Hg 0.000 0.500 0.250 x4

=====

Run x
This record from Alexandria via LeMat-Bulk describes a geometry-optimized CrFeHg2 structure. The functional is PBEsol.

Output
Magnetization (μB per atom): 1.545
Density of states at the Fermi level (states/eV per cell): 2.90

a = 2.987 Å, b = 2.987 Å, c = 7.398 Å
α = 90.00°, β = 90.00°, γ = 90.00°
Space group P4/mmm (No. 123)
Unique sites:
Cr 0.000 0.000 0.000 x1
Fe 0.000 0.000 0.500 x1
Hg 0.500 0.500 0.256 x2

=====

It is run w that is the least stable of them.

=====

Run w
This record from Alexandria via LeMat-Bulk describes a geometry-optimized CrFeHg2 structure. The functional is PBEsol.

Output
Magnetization (μB per atom): 1.501
Density of states at the Fermi level (states/eV per cell): 3.27

a = 2.994 Å, b = 3.716 Å, c = 5.908 Å
α = 90.00°, β = 90.00°, γ = 90.00°
Space group Pmmm (No. 47)
Unique sites:
Cr 0.000 0.000 0.000 x1
Fe 0.000 0.000 0.500 x1
Hg 0.500 0.500 0.255 x2

=====

Run x
This record from Alexandria via LeMat-Bulk describes a geometry-optimized CrFeHg2 structure. The functional is PBEsol.

Output
Magnetization (μB per atom): 1.001
Density of states at the Fermi level (states/eV per cell): 7.82

a = 9.999 Å, b = 2.891 Å, c = 4.701 Å
α = 90.00°, β = 110.33°, γ = 90.00°
Space group Cm (No. 8)
Unique sites:
Cr 0.000 0.000 0.000 x2
Fe 0.309 0.000 0.746 x2
Hg 0.049 0.500 0.542 x2
Hg 0.265 0.500 0.209 x2

=====

It is run x that is the least stable of them.

=====

Run w
This record from Alexandria via LeMat-Bulk describes a geometry-optimized CrIn2Fe structure. The functional is PBEsol.

Output
Magnetization (μB per atom): 1.219
Density of states at the Fermi level (states/eV per cell): 4.64

a = 4.133 Å, b = 4.133 Å, c = 7.547 Å
α = 90.00°, β = 90.00°, γ = 90.00°
Space group I4/mmm (No. 139)
Unique sites:
Cr 0.000 0.000 0.000 x2
In 0.000 0.500 0.250 x4
Fe 0.000 0.000 0.500 x2

=====

Run x
This record from Alexandria via LeMat-Bulk describes a geometry-optimized CrIn2Fe structure. The functional is PBEsol.

Output
Magnetization (μB per atom): 1.297
Density of states at the Fermi level (states/eV per cell): 11.94

a = 2.9949 Å, b = 2.9949 Å, c = 26.1339 Å
α = 90.00°, β = 90.00°, γ = 120.00°
Space group R-3m (No. 166, hexagonal axes)
Unique sites:
Cr 0.0000 0.0000 0.0000 x3
In 0.0000 0.0000 0.2477 x6
Fe 0.0000 0.0000 0.5000 x3

=====

It is run x that is the least stable of them.

=====

Run w
This record from Alexandria via LeMat-Bulk describes a geometry-optimized Cr2FeIr structure. The functional is PBEsol.

Output
Magnetization (μB per atom): 0.169
Density of states at the Fermi level (states/eV per cell): 7.72

a = 5.089 Å, b = 7.212 Å, c = 2.577 Å
α = 90.00°, β = 90.00°, γ = 90.00°
Space group Cmmm (No. 65)
Unique sites:
Cr 0.250 0.250 0.000 x4
Fe 0.000 0.000 0.500 x2
Ir 0.000 0.500 0.500 x2

=====

Run x
This record from Alexandria via LeMat-Bulk describes a geometry-optimized Cr2FeIr structure. The functional is PBEsol.

Output
Magnetization (μB per atom): 0.000
Density of states at the Fermi level (states/eV per cell): 4.74

a = 2.582 Å, b = 3.524 Å, c = 5.124 Å
α = 90.00°, β = 90.00°, γ = 90.00°
Space group Pmmm (No. 47)
Unique sites:
Cr 0.000 0.000 0.226 x2
Fe 0.500 0.500 0.000 x1
Ir 0.500 0.500 0.500 x1

=====

Run y
This record from Alexandria via LeMat-Bulk describes a geometry-optimized Cr2FeIr structure. The functional is PBEsol.

Output
Magnetization (μB per atom): 0.153
Density of states at the Fermi level (states/eV per cell): 8.72

a = 3.599 Å, b = 3.599 Å, c = 7.235 Å
α = 90.00°, β = 90.00°, γ = 90.00°
Space group I4/mmm (No. 139)
Unique sites:
Cr 0.000 0.500 0.250 x4
Fe 0.000 0.000 0.000 x2
Ir 0.000 0.000 0.500 x2

=====

It is run w that is the least stable of them.

=====

Run w
This record from Alexandria via LeMat-Bulk describes a geometry-optimized KCrFe2 structure. The functional is PBEsol.

Output
Magnetization (μB per atom): 0.699
Density of states at the Fermi level (states/eV per cell): 4.80

a = 2.771 Å, b = 3.229 Å, c = 7.658 Å
α = 90.00°, β = 90.00°, γ = 90.00°
Space group Pmmm (No. 47)
Unique sites:
K 0.000 0.000 0.000 x1
Cr 0.000 0.000 0.500 x1
Fe 0.500 0.500 0.353 x2

=====

Run x
This record from Alexandria via LeMat-Bulk describes a geometry-optimized KCrFe2 structure. The functional is PBEsol.

Output
Magnetization (μB per atom): 1.631
Density of states at the Fermi level (states/eV per cell): 3.86

a = 2.819 Å, b = 2.819 Å, c = 8.339 Å
α = 90.00°, β = 90.00°, γ = 90.00°
Space group P4mm (No. 99)
Unique sites:
K 0.000 0.000 0.000 x1
Cr 0.500 0.500 0.344 x1
Fe 0.000 0.000 0.506 x1
Fe 0.500 0.500 0.665 x1

=====

It is run x that is the least stable of them.